Computed, not measured: crystalline Pm3Tm3Th at its relaxed geometry at the PBE level of DFT.

Lattice parameters (Å, degrees): 8.8686 8.8686 8.8686 58.05 58.05 58.05
Sites, in units of the cell vectors:
1 Pm 0.7139 0.5651 0.0743
2 Pm 0.0743 0.7139 0.5651
3 Pm 0.5651 0.0743 0.7139
4 Pm 0.4349 0.9257 0.2861
5 Pm 0.9257 0.2861 0.4349
6 Pm 0.2861 0.4349 0.9257
7 Tm 0.7136 0.1736 0.9384
8 Tm 0.1736 0.9384 0.7136
9 Tm 0.9384 0.7136 0.1736
10 Tm 0.0616 0.2864 0.8264
11 Tm 0.8264 0.0616 0.2864
12 Tm 0.2864 0.8264 0.0616
13 Th 0.3419 0.3419 0.3419
14 Th 0.6581 0.6581 0.6581

Summary:
The density of states at the Fermi level comes out at 1.56 states/eV/atom. As for the energy above the most stable polymorph in this dataset: 0.198 eV/atom. The volume is 33.65 Å³/atom. The calculated formation energy comes out at 228 meV/atom.